No. 1
# AgPOs2

A relaxed AgPOs2 crystal (PBE, Alexandria via LeMat-Bulk).

Output
The calculation puts the electronic total energy at -7.0823 eV per atom. The total magnetic moment comes out at 0.00 Bohr magnetons per cell. For the calculated density, the calculation gives 14.005 g/cm³. The formation enthalpy at 0 K comes out at 57.7 kJ/mol of atoms. As for the space group: Imm2, No. 44.

abc: 6.0142 6.0142 6.0142
angles: 152.06 142.68 47.25
Closest atoms and distances in Å follow each position.
Positions (direct):
1 Ag 0.0000 0.0000 0.0000  6 Os 2.72-2.78, 2 P 2.87, 2 Ag 2.90
2 P 0.7757 0.2757 0.5000  6 Os 2.29-2.45
3 Os 0.3174 0.8174 0.5000  4 P 2.45
4 Os 0.6148 0.6148 0.0000  2 P 2.29

No. 2
# BaMgSi2

A relaxed BaMgSi2 crystal (PBE, Alexandria via LeMat-Bulk).

Output
The uncorrected formation energy is -0.40 eV/f.u. The calculation puts the electronic total energy at -3.6900 eV per atom. The total magnetic moment comes out at 0.00 Bohr magnetons per cell. For the calculated density, the calculation gives 3.052 g/cm³. As for the space group: Amm2, No. 38.

abc: 4.4654 5.2433 5.2433
angles: 74.85 90.00 90.00
Closest atoms and distances in Å follow each position.
Positions (direct):
1 Ba 0.0000 0.0000 0.0000  8 Si 3.47-3.52
2 Mg 0.5000 0.5933 0.5933  4 Si 2.67-2.71
3 Si 0.5000 0.1209 0.4745  1 Si 2.25
4 Si 0.5000 0.4745 0.1209  1 Si 2.25